(1)
Computed, not measured: crystalline ReHgW2 at its relaxed geometry at the GGA-PBE level of DFT.

a = 4.9697 Å, b = 4.9697 Å, c = 4.9697 Å
α = 132.06°, β = 132.06°, γ = 70.13°
Last column: nearest neighbours and their distance in Å.
Sites, in units of the cell vectors:
Hg 0.5000 0.5000 0.0000  8 W 2.86-2.87, 4 Re 2.87
W 0.2500 0.7500 0.5000  4 Re 2.86, 4 Hg 2.87, 4 W 2.87
W 0.0000 0.0000 0.0000  4 Hg 2.86, 4 Re 2.87, 4 W 2.87
Re 0.7500 0.2500 0.5000  8 W 2.86-2.87, 4 Hg 2.87

Computed properties:
Its calculated density is 18.9 g/cm3. The spin magnetization is 0.000 μB/cell. Its total energy is -8.986 eV/atom.

=====

(2)
Computed, not measured: crystalline TlSbPt at its relaxed geometry at the GGA-PBE level of DFT.

a = 6.8460 Å, b = 7.0571 Å, c = 7.0602 Å
α = 119.12°, β = 90.00°, γ = 90.00°
Last column: nearest neighbours and their distance in Å.
Sites, in units of the cell vectors:
Pt 0.0310 0.2116 0.2522  3 Sb 2.66-2.69, 3 Tl 2.82-2.88
Pt 0.4690 0.7116 0.2522  3 Sb 2.66-2.69, 3 Tl 2.82-2.88
Pt 0.5310 0.2884 0.7478  3 Sb 2.66-2.69, 3 Tl 2.82-2.88
Pt 0.9690 0.7884 0.7478  3 Sb 2.66-2.69, 3 Tl 2.82-2.88
Sb 0.6165 0.8782 0.6494  3 Pt 2.66-2.69
Sb 0.3835 0.1218 0.3506  3 Pt 2.66-2.69
Sb 0.1165 0.6218 0.3506  3 Pt 2.66-2.69
Sb 0.8835 0.3782 0.6494  3 Pt 2.66-2.69
Tl 0.6652 0.3227 0.1505  3 Pt 2.82-2.88, 1 Sb 3.11
Tl 0.1652 0.1773 0.8495  3 Pt 2.82-2.88, 1 Sb 3.11
Tl 0.8348 0.8227 0.1505  3 Pt 2.82-2.88, 1 Sb 3.11
Tl 0.3348 0.6773 0.8495  3 Pt 2.82-2.88, 1 Sb 3.11

Computed properties:
Its calculated density is 11.6 g/cm3. The value obtained for the energy above the most stable polymorph in this dataset is 0.0000 eV/atom. For the formation energy (no corrections), the calculation gives -0.2304 eV per atom. The spin magnetization is 0.000 μB/cell. Its total energy is -4.407 eV/atom.

=====

(3)
Computed, not measured: crystalline CuAs2Se at its relaxed geometry at the GGA-PBE level of DFT.

a = 6.0617 Å, b = 6.0617 Å, c = 6.0617 Å
α = 141.79°, β = 145.64°, γ = 52.32°
Last column: nearest neighbours and their distance in Å.
Sites, in units of the cell vectors:
Se 0.1767 0.6767 0.5000  2 Cu 2.55
Cu 0.5101 0.5101 0.0000  2 Se 2.55, 6 As 2.68-2.69
As 0.9860 0.9860 0.0000  2 As 2.63, 4 Cu 2.69, 2 Se 2.87
As 0.8273 0.3273 0.5000  2 As 2.63, 2 Cu 2.68

Computed properties:
Its calculated density is 6.3 g/cm3. For the formation energy (no corrections), the calculation gives 0.2046 eV per atom. The spin magnetization is 0.000 μB/cell. Its total energy is -4.015 eV/atom.

=====

(4)
Computed, not measured: crystalline TaZnPd2S at its relaxed geometry at the GGA-PBE level of DFT.

a = 4.5294 Å, b = 4.8858 Å, c = 4.5294 Å
α = 90.00°, β = 90.00°, γ = 90.00°
Last column: nearest neighbours and their distance in Å.
Sites, in units of the cell vectors:
Ta 0.0000 0.5000 0.0000  2 Zn 2.44
Pd 0.5000 0.0000 0.0000  2 Zn 2.26
Pd 0.0000 0.0000 0.5000  2 Zn 2.26
Zn 0.0000 0.0000 0.0000  4 Pd 2.26, 2 Ta 2.44
S 0.5000 0.5000 0.5000  4 Ta 3.20, 8 Pd 3.33

Computed properties:
Its calculated density is 8.1 g/cm3. For the formation energy (no corrections), the calculation gives 1.0499 eV per atom. The spin magnetization is 1.292 μB/cell. Its total energy is -4.478 eV/atom.

=====

(5)
Computed, not measured: crystalline LiAcH6Pt2 at its relaxed geometry at the GGA-PBE level of DFT.

a = 4.6566 Å, b = 4.6566 Å, c = 6.1188 Å
α = 67.63°, β = 67.63°, γ = 60.00°
Last column: nearest neighbours and their distance in Å.
Sites, in units of the cell vectors:
Pt 0.7922 0.7922 0.6233  3 H 1.66
Pt 0.2078 0.2078 0.3767  3 H 1.66
H 0.9064 0.4360 0.2219  1 Pt 1.66
H 0.4360 0.4357 0.2219  1 Pt 1.66
H 0.5640 0.5643 0.7781  1 Pt 1.66
H 0.5643 0.0936 0.7781  1 Pt 1.66
H 0.4357 0.9064 0.2219  1 Pt 1.66
H 0.0936 0.5640 0.7781  1 Pt 1.66
Ac 0.0000 0.0000 0.0000  12 H 2.63
Li 0.5000 0.5000 0.5000  6 H 1.98

Computed properties:
Its calculated density is 10.1 g/cm3. The spin magnetization is 0.000 μB/cell. Its total energy is -4.284 eV/atom.

=====

(6)
Computed, not measured: crystalline TmCd2Au2 at its relaxed geometry at the GGA-PBE level of DFT.

a = 4.7785 Å, b = 4.8316 Å, c = 10.0528 Å
α = 88.14°, β = 90.00°, γ = 90.00°
Last column: nearest neighbours and their distance in Å.
Sites, in units of the cell vectors:
Cd 0.2500 0.7318 0.9928  4 Au 2.84-2.93, 1 Cd 3.14
Cd 0.2500 0.7442 0.6799  6 Au 2.89-3.10, 1 Cd 3.14
Cd 0.7500 0.2682 0.0072  4 Au 2.84-2.93, 1 Cd 3.14
Cd 0.7500 0.2558 0.3201  6 Au 2.89-3.10, 1 Cd 3.14
Au 0.2500 0.2375 0.8403  6 Cd 2.84-2.93, 2 Tm 2.92
Au 0.7500 0.7471 0.5106  4 Tm 2.91-3.02, 4 Cd 2.93-3.10
Au 0.2500 0.2529 0.4894  4 Tm 2.91-3.02, 4 Cd 2.93-3.10
Au 0.7500 0.7625 0.1597  6 Cd 2.84-2.93, 2 Tm 2.92
Tm 0.7500 0.2376 0.6739  6 Au 2.91-3.02
Tm 0.2500 0.7624 0.3261  6 Au 2.91-3.02

Computed properties:
Its calculated density is 11.3 g/cm3. The value obtained for the energy above the most stable polymorph in this dataset is 0.0101 eV/atom. The spin magnetization is 0.000 μB/cell. Its total energy is -3.029 eV/atom.

=====

(7)
Computed, not measured: crystalline Ac2URh2S6 at its relaxed geometry at the GGA-PBE level of DFT.

a = 6.4944 Å, b = 7.3241 Å, c = 7.3147 Å
α = 120.02°, β = 90.00°, γ = 116.32°
Last column: nearest neighbours and their distance in Å.
Sites, in units of the cell vectors:
S 0.3149 0.1521 0.8205  1 Rh 2.30
S 0.8372 0.1521 0.8205  1 Rh 2.30
S 0.2726 0.5452 0.3732  1 Rh 2.28
S 0.6851 0.8479 0.1795  1 Rh 2.30
S 0.1628 0.8479 0.1795  1 Rh 2.30
S 0.7274 0.4548 0.6268  1 Rh 2.28
Ac 0.2611 0.5221 0.7710  5 S 3.00-3.07, 1 Rh 3.23
Ac 0.7389 0.4779 0.2290  5 S 3.00-3.07, 1 Rh 3.23
U 0.5000 0.0000 0.5000  6 S 2.59-2.60
Rh 0.0690 0.1379 0.2421  3 S 2.28-2.30
Rh 0.9310 0.8621 0.7579  3 S 2.28-2.30

Computed properties:
Its calculated density is 7.0 g/cm3. For the formation energy (no corrections), the calculation gives -1.2243 eV per atom. The spin magnetization is 0.369 μB/cell. Its total energy is -6.585 eV/atom.

=====

(8)
Computed, not measured: crystalline Pr2SmPb at its relaxed geometry at the GGA-PBE level of DFT.

a = 5.6511 Å, b = 5.6511 Å, c = 5.6511 Å
α = 60.00°, β = 60.00°, γ = 60.00°
Last column: nearest neighbours and their distance in Å.
Sites, in units of the cell vectors:
Sm 0.5000 0.5000 0.5000  8 Pr 3.46
Pr 0.2500 0.2500 0.2500  4 Pb 3.46, 4 Sm 3.46
Pr 0.7500 0.7500 0.7500  4 Pb 3.46, 4 Sm 3.46
Pb 0.0000 0.0000 0.0000  8 Pr 3.46

Computed properties:
Its calculated density is 8.3 g/cm3. The value obtained for the energy above the most stable polymorph in this dataset is 0.1826 eV/atom. The spin magnetization is 0.011 μB/cell. Its total energy is -4.650 eV/atom.